Entry 1:
Mg2CoHg: relaxed, GGA-PBE.

## Properties
- DFT formation energy (kJ per mole of atoms) = 12.3
- V (Å³/atom) = 17.10
- N(E_F) (states/eV/cell) = 12.201

a = 6.4914 Å, b = 6.4914 Å, c = 6.4914 Å
α = 90.00°, β = 90.00°, γ = 90.00°
Last column: nearest neighbours and their distance in Å.
Space group F-43m (No. 216)
Unique sites:
Mg: 0.0000 0.0000 0.0000  4 Co 2.81, 4 Mg 2.81
Mg: 0.2500 0.2500 0.2500  4 Mg 2.81, 4 Hg 2.81
Co: 0.2500 0.2500 0.7500  4 Hg 2.81, 4 Mg 2.81
Hg: 0.0000 0.0000 0.5000  4 Mg 2.81, 4 Co 2.81


Entry 2:
SrGa8Rh2: relaxed, GGA-PBE.

## Properties
- DFT formation energy (kJ per mole of atoms) = -11.3
- V (Å³/atom) = 24.53
- N(E_F) (states/eV/cell) = 5.935

a = 5.5138 Å, b = 5.5138 Å, c = 8.8754 Å
α = 90.00°, β = 90.00°, γ = 90.00°
Last column: nearest neighbours and their distance in Å.
Space group P4/mmm (No. 123)
Unique sites:
Sr: 0.0000 0.0000 0.0000  8 Ga 3.39
Ga: 0.2516 0.2516 0.3114  2 Rh 2.57, 4 Ga 2.74-2.77
Rh: 0.0000 0.5000 0.5000  8 Ga 2.57


Entry 3:
SrMoAs: relaxed, GGA-PBE.

## Properties
- DFT formation energy (kJ per mole of atoms) = 41.3
- V (Å³/atom) = 24.09
- N(E_F) (states/eV/cell) = 16.131

a = 6.6120 Å, b = 6.6120 Å, c = 6.6120 Å
α = 90.00°, β = 90.00°, γ = 90.00°
Last column: nearest neighbours and their distance in Å.
Space group F-43m (No. 216)
Unique sites:
Sr: 0.0000 0.0000 0.0000  4 As 2.86
Mo: 0.0000 0.0000 0.5000  4 As 2.86
As: 0.2500 0.2500 0.2500  4 Mo 2.86, 4 Sr 2.86


Entry 4:
KTi3O: relaxed, GGA-PBE.

## Properties
- formation energy (no corrections) (meV per atom) = 2341
- ΔE to the lowest computed polymorph (eV/atom) = 2.383
- V (Å³/atom) = 17.74
- N(E_F) (states/eV/cell) = 3.717

a = 4.4595 Å, b = 4.4595 Å, c = 4.4595 Å
α = 90.00°, β = 90.00°, γ = 90.00°
Last column: nearest neighbours and their distance in Å.
Space group Pm-3m (No. 221)
Unique sites:
K: 0.0000 0.0000 0.0000  6 Ti 2.23
Ti: 0.0000 0.0000 0.5000  2 K 2.23
O: 0.5000 0.5000 0.5000  12 Ti 3.15


Entry 5:
Ac3Bi2O: relaxed, GGA-PBE.

## Properties
- formation energy (no corrections) (meV per atom) = -1580
- V (Å³/atom) = 34.66
- N(E_F) (states/eV/cell) = 15.400

a = 9.5162 Å, b = 4.6927 Å, c = 18.6271 Å
α = 90.00°, β = 90.00°, γ = 90.00°
Last column: nearest neighbours and their distance in Å.
Space group Pnma (No. 62)
Unique sites:
Ac: 0.0197 0.2500 0.1068  2 O 2.64
Ac: 0.1459 0.2500 0.5719  1 O 2.42
Ac: 0.1701 0.7500 0.2678  1 O 2.47
Bi: 0.0896 0.7500 0.7109  7 Ac 3.43-3.55, 2 O 3.79
Bi: 0.2411 0.2500 0.9524  6 Ac 3.41-3.59
O: 0.1335 0.7500 0.1366  4 Ac 2.42-2.64


Entry 6:
Li3InSn: relaxed, GGA-PBE.

## Properties
- ΔE to the lowest computed polymorph (eV/atom) = 0.000
- DFT formation energy (kJ per mole of atoms) = -28.9
- V (Å³/atom) = 19.73
- N(E_F) (states/eV/cell) = 2.238

a = 6.4538 Å, b = 4.3235 Å, c = 7.0758 Å
α = 90.00°, β = 92.30°, γ = 90.00°
Last column: nearest neighbours and their distance in Å.
Space group P2_1/m (No. 11)
Unique sites:
Li: 0.0369 0.2500 0.3374  3 Sn 2.83-2.96, 1 In 2.90, 3 Li 2.94-2.95
Li: 0.2617 0.2500 0.7456  6 Li 2.90-3.19, 3 Sn 3.03-3.05, 3 In 3.06-3.22
Li: 0.4486 0.2500 0.1702  4 Li 2.90-3.19, 3 In 2.93-2.96, 3 Sn 2.98-3.07
In: 0.1670 0.7500 0.0353  9 Li 2.90-3.22, 2 In 3.08, 1 Sn 3.10
Sn: 0.3283 0.7500 0.4536  9 Li 2.83-3.07, 1 In 3.10, 2 Sn 3.15


Entry 7:
MgNi5Pt6: relaxed, GGA-PBE.

## Properties
- DFT formation energy (kJ per mole of atoms) = -21.2
- V (Å³/atom) = 13.80
- N(E_F) (states/eV/cell) = 34.890

a = 3.8951 Å, b = 7.3171 Å, c = 11.6217 Å
α = 90.00°, β = 90.00°, γ = 90.00°
Last column: nearest neighbours and their distance in Å.
Space group Immm (No. 71)
Unique sites:
Mg: 0.0000 0.0000 0.0000  8 Pt 2.70-2.72, 4 Ni 2.75
Ni: 0.0000 0.0000 0.3311  8 Pt 2.64-2.66, 4 Ni 2.73-2.77
Ni: 0.0000 0.5000 0.0000  8 Pt 2.63-2.65, 4 Ni 2.77
Ni: 0.0000 0.5000 0.3333  8 Pt 2.63-2.71, 2 Ni 2.73, 2 Mg 2.75
Pt: 0.0000 0.2407 0.5000  6 Ni 2.63-2.71, 2 Mg 2.72, 4 Pt 2.76
Pt: 0.0000 0.2544 0.1681  7 Ni 2.63-2.69, 1 Mg 2.70, 4 Pt 2.72-2.76


Entry 8:
Ce2AgSb: relaxed, GGA-PBE.

## Properties
- formation energy (no corrections) (meV per atom) = -502
- V (Å³/atom) = 27.15
- N(E_F) (states/eV/cell) = 14.134

a = 5.1446 Å, b = 5.1446 Å, c = 4.1040 Å
α = 90.00°, β = 90.00°, γ = 90.00°
Last column: nearest neighbours and their distance in Å.
Space group P4/mmm (No. 123)
Unique sites:
Ce: 0.0000 0.5000 0.0000  4 Sb 3.29, 4 Ag 3.29, 4 Ce 3.64
Ag: 0.0000 0.0000 0.5000  8 Ce 3.29, 4 Sb 3.64
Sb: 0.5000 0.5000 0.5000  8 Ce 3.29, 4 Ag 3.64


Entry 9:
Zn2CrRe: relaxed, GGA-PBE.

## Properties
- ΔE to the lowest computed polymorph (eV/atom) = 0.338
- DFT formation energy (kJ per mole of atoms) = 43.3
- V (Å³/atom) = 14.12
- N(E_F) (states/eV/cell) = 36.937

a = 6.0907 Å, b = 6.0907 Å, c = 6.0907 Å
α = 90.00°, β = 90.00°, γ = 90.00°
Last column: nearest neighbours and their distance in Å.
Space group Fm-3m (No. 225)
Unique sites:
Zn: 0.2500 0.2500 0.2500  4 Cr 2.64, 4 Re 2.64
Cr: 0.0000 0.0000 0.0000  8 Zn 2.64
Re: 0.0000 0.0000 0.5000  8 Zn 2.64


Entry 10:
CaTbPa2As4: relaxed, GGA-PBE.

## Properties
- DFT formation energy (kJ per mole of atoms) = -116.9
- V (Å³/atom) = 24.90
- N(E_F) (states/eV/cell) = 17.648

a = 5.8283 Å, b = 5.8283 Å, c = 11.7295 Å
α = 90.00°, β = 90.00°, γ = 90.00°
Last column: nearest neighbours and their distance in Å.
Space group I-4m2 (No. 119)
Unique sites:
Ca: 0.0000 0.0000 0.0000  6 As 2.91-2.99
Tb: 0.0000 0.5000 0.7500  6 As 2.91-2.97
Pa: 0.0000 0.0000 0.5000  6 As 2.88-2.91
Pa: 0.0000 0.5000 0.2500  6 As 2.90-2.91
As: 0.0000 0.0000 0.2546  3 Pa 2.88-2.91, 2 Tb 2.91, 1 Ca 2.99
As: 0.0000 0.5000 0.0029  3 Pa 2.90-2.91, 2 Ca 2.91, 1 Tb 2.97